[1]
Entry from the Alexandria database: a relaxed BaTbAl2Ga2 crystal (PBE-GGA).

Cell and atoms, written as POSCAR:
```
BaTbAl2Ga2
1.0
4.409 0.000 0.000
-2.205 3.818 0.000
0.000 0.000 9.100
Ba Tb Al Ga
1 1 2 2
Direct
0.000 0.000 0.000 Ba
0.000 0.000 0.500 Tb
0.333 0.667 0.287 Al
0.667 0.333 0.713 Al
0.333 0.667 0.702 Ga
0.667 0.333 0.298 Ga
```

Computed properties:
V (Å³/cell): 153
Mass density (g/cm³): 5.3
Energy (eV per atom): -3.80
Energy of formation (eV/atom): -0.448
Space group: No. 164
Magnetic moment (μB/atom): 0.00

***

[2]
Entry from the Alexandria database: a relaxed LiLaDyPd crystal (PBE-GGA).

Cell and atoms, written as POSCAR:
```
LiLaDyPd
1.0
7.301 0.000 0.000
0.000 7.301 0.000
0.000 0.000 7.301
Li La Dy Pd
4 4 4 4
Direct
0.000 0.000 0.000 Li
0.000 0.500 0.500 Li
0.500 0.000 0.500 Li
0.500 0.500 0.000 Li
0.250 0.250 0.250 La
0.250 0.750 0.750 La
0.750 0.250 0.750 La
0.750 0.750 0.250 La
0.250 0.250 0.750 Dy
0.250 0.750 0.250 Dy
0.750 0.250 0.250 Dy
0.750 0.750 0.750 Dy
0.000 0.000 0.500 Pd
0.000 0.500 0.000 Pd
0.500 0.000 0.000 Pd
0.500 0.500 0.500 Pd
```

Computed properties:
V (Å³/cell): 389
Mass density (g/cm³): 7.1
Energy (eV per atom): -4.51
Energy of formation (eV/atom): -0.348
Space group: No. 216
Magnetic moment (μB/atom): 0.00

***

[3]
Entry from the Alexandria database: a relaxed MgNb3Br crystal (PBE-GGA).

Cell and atoms, written as POSCAR:
```
MgNb3Br
1.0
4.789 0.000 0.000
0.000 4.789 0.000
0.000 0.000 4.789
Mg Nb Br
1 3 1
Direct
0.000 0.000 0.000 Mg
0.000 0.500 0.500 Nb
0.500 0.000 0.500 Nb
0.500 0.500 0.000 Nb
0.500 0.500 0.500 Br
```

Computed properties:
V (Å³/cell): 110
Mass density (g/cm³): 5.8
Energy (eV per atom): -5.70
Formation energy from raw total energies (meV per atom): 1000
Space group: No. 221
Energy above the most stable polymorph in this dataset (meV per atom): 0.0
Magnetic moment (μB/atom): 0.00

***

[4]
Entry from the Alexandria database: a relaxed CeZr9O20 crystal (PBE-GGA).

Cell and atoms, written as POSCAR:
```
CeZr9O20
1.0
6.466 0.000 0.000
2.295 7.066 0.000
2.083 1.230 7.838
Ce Zr O
1 9 20
Direct
0.000 0.000 0.000 Ce
0.197 0.302 0.599 Zr
0.202 0.798 0.596 Zr
0.400 0.097 0.202 Zr
0.401 0.594 0.201 Zr
0.594 0.401 0.800 Zr
0.602 0.896 0.800 Zr
0.796 0.700 0.402 Zr
0.799 0.201 0.403 Zr
0.998 0.500 0.996 Zr
0.016 0.674 0.164 O
0.081 0.224 0.141 O
0.115 0.075 0.460 O
0.182 0.620 0.441 O
0.225 0.471 0.762 O
0.285 0.021 0.735 O
0.332 0.874 0.066 O
0.382 0.422 0.039 O
0.407 0.282 0.360 O
0.480 0.820 0.345 O
0.517 0.677 0.662 O
0.585 0.221 0.638 O
0.613 0.082 0.958 O
0.679 0.621 0.942 O
0.713 0.476 0.261 O
0.765 0.024 0.249 O
0.816 0.875 0.561 O
0.884 0.420 0.533 O
0.916 0.294 0.852 O
0.980 0.808 0.833 O
```

Computed properties:
V (Å³/cell): 358
Mass density (g/cm³): 5.9
Energy (eV per atom): -9.38
Formation energy from raw total energies (meV per atom): -3314
Space group: No. 1
Magnetic moment (μB/atom): 0.00

***

[5]
Entry from the Alexandria database: a relaxed ScHgB crystal (PBE-GGA).

Cell and atoms, written as POSCAR:
```
ScHgB
1.0
3.447 0.000 0.000
0.000 4.972 0.000
0.000 0.000 6.146
Sc Hg B
2 2 2
Direct
0.000 0.000 0.000 Sc
0.000 0.500 0.376 Sc
0.500 0.000 0.459 Hg
0.500 0.500 0.772 Hg
0.500 0.334 0.138 B
0.500 0.666 0.138 B
```

Computed properties:
V (Å³/cell): 105
Mass density (g/cm³): 8.1
Energy (eV per atom): -4.51
Energy of formation (eV/atom): -0.070
Space group: No. 25
Energy above the most stable polymorph in this dataset (meV per atom): 442.3
Magnetic moment (μB/atom): 0.00

***

[6]
Entry from the Alexandria database: a relaxed Ac2Sm3Pb4 crystal (PBE-GGA).

Cell and atoms, written as POSCAR:
```
Ac2Sm3Pb4
1.0
3.701 -9.012 0.000
3.701 9.012 0.000
0.000 0.000 9.302
Ac Sm Pb
4 6 8
Direct
0.111 0.889 0.913 Ac
0.389 0.611 0.413 Ac
0.611 0.389 0.587 Ac
0.889 0.111 0.087 Ac
0.000 0.000 0.500 Sm
0.043 0.457 0.750 Sm
0.457 0.043 0.250 Sm
0.500 0.500 0.000 Sm
0.543 0.957 0.750 Sm
0.957 0.543 0.250 Sm
0.186 0.814 0.554 Pb
0.216 0.284 0.750 Pb
0.284 0.216 0.250 Pb
0.314 0.686 0.054 Pb
0.686 0.314 0.946 Pb
0.716 0.784 0.750 Pb
0.784 0.716 0.250 Pb
0.814 0.186 0.446 Pb
```

Computed properties:
V (Å³/cell): 621
Mass density (g/cm³): 9.3
Energy (eV per atom): -4.64
Energy of formation (eV/atom): -0.505
Space group: No. 64
Energy above the most stable polymorph in this dataset (meV per atom): 103.9
Magnetic moment (μB/atom): 0.00

***

- Look up the mass density of the fifth one.
  8.1 g/cm³